Na4Ce3CoO8 | GGA+U | optimized geometry

The calculation puts the total DFT energy (no corrections) at -316.0 eV/cell.

The space group is R-3m (No. 166, hexagonal axes) and the conventional cell measures 6.9312, 6.9312 and 16.7578 Å, with angles of 90.00, 90.00 and 120.00 degrees. Symmetry generates all atoms from Na at (0.0000, 0.0000, 0.0000), Na at (0.0000, 0.5000, 0.0000), Ce at (0.0000, 0.5000, 0.5000), Co at (0.0000, 0.0000, 0.5000), O at (0.0000, 0.0000, 0.2400) and O at (0.0167, 0.5084, 0.7612).